1.
Below is RbCdH2Pd after structural relaxation, with properties calculated at the PBE-GGA level.

Properties
* E: -2.370 eV per atom

Lattice parameters (Å, degrees): 4.270 5.389 4.270 90.00 90.00 90.00
Fractional coordinates of all 5 atoms:
H: 0.000 0.000 0.500
H: 0.500 0.000 0.000
Rb: 0.500 0.500 0.500
Pd: 0.000 0.500 0.000
Cd: 0.000 0.000 0.000

---

2.
Below is Cd2H6PdRh after structural relaxation, with properties calculated at the PBE-GGA level.

Properties
* E: -3.458 eV per atom

Lattice parameters (Å, degrees): 5.718 4.858 4.936 110.47 124.86 88.94
Fractional coordinates of all 10 atoms:
Cd: 0.694 0.887 0.272
Cd: 0.415 0.624 0.496
H: 0.113 0.916 0.324
H: 0.870 0.740 0.735
H: 0.020 0.303 0.845
H: 0.696 0.308 0.939
H: 0.119 0.371 0.470
H: 0.261 0.026 0.046
Pd: 0.348 0.237 0.843
Rh: 0.963 0.090 0.028

---

3.
Below is CdHPd2Rh after structural relaxation, with properties calculated at the PBE-GGA level.

Properties
* excess energy over the best structure of this formula in the dataset: 0 kJ/mol of formula units
* E: -4.551 eV per atom

Lattice parameters (Å, degrees): 4.121 4.121 3.921 90.00 90.00 90.00
Fractional coordinates of all 5 atoms:
H: 0.000 0.000 0.000
Rh: 0.000 0.000 0.500
Pd: 0.000 0.500 0.000
Pd: 0.500 0.000 0.000
Cd: 0.500 0.500 0.500

---

4.
Below is CdHPdRh2 after structural relaxation, with properties calculated at the PBE-GGA level.

Properties
* excess energy over the best structure of this formula in the dataset: 43 kJ/mol of formula units
* E: -4.806 eV per atom

Lattice parameters (Å, degrees): 3.905 3.905 4.315 90.00 90.00 90.00
Fractional coordinates of all 5 atoms:
H: 0.000 0.000 0.000
Rh: 0.000 0.500 0.000
Rh: 0.500 0.000 0.000
Pd: 0.500 0.500 0.500
Cd: 0.000 0.000 0.500

---

Look up the E of the first one.
-2.370 eV per atom

---

Copy entry 4 word for word.
Below is CdHPdRh2 after structural relaxation, with properties calculated at the PBE-GGA level.

Properties
* excess energy over the best structure of this formula in the dataset: 43 kJ/mol of formula units
* E: -4.806 eV per atom

Lattice parameters (Å, degrees): 3.905 3.905 4.315 90.00 90.00 90.00
Fractional coordinates of all 5 atoms:
H: 0.000 0.000 0.000
Rh: 0.000 0.500 0.000
Rh: 0.500 0.000 0.000
Pd: 0.500 0.500 0.500
Cd: 0.000 0.000 0.500

---

What is the formula in the first record?
RbCdH2Pd

---

Look up the E of the third one.
-4.551 eV per atom